ZrIn2Cl | Alexandria | PBE-GGA | optimized geometry; E_tot = -15.891 eV per cell; N(E_F) = 1.24 states/eV per atom; ΔE_f (raw) = -0.005 eV/atom; total magnetization = 0.91 μB per cell; crystal system = cubic; SG = F-43m
1.0
-1.3130 3.2249 3.6887
-4.2709 2.7074 -0.3995
-3.9569 -1.0482 2.9957
Cl Zr In
1 1 2
Cartesian
-4.7704 2.4420 3.1424
-7.1556 3.6631 4.7136
0.0000 0.0000 0.0000
-2.3852 1.2210 1.5712